# 1
The following is a DFT calculation (GGA-PBE) of a relaxed Y4BiPb2 crystal. Values from VASP.

## Properties
The formation energy comes out at -496 meV per atom. As for the density of states at the Fermi level: 6.1 states/eV per cell. For the total magnetic moment, the calculation gives 0.0 μB/f.u. For the final energy, the calculation gives -5.8038 eV per atom.

```
&SYSTEM
  ibrav = 0, nat = 14, ntyp = 3
/
ATOMIC_SPECIES
Y 88.91 Y.upf
Bi 208.98 Bi.upf
Pb 207.20 Pb.upf
CELL_PARAMETERS angstrom
6.250 0.000 0.000
0.000 6.651 0.000
-1.591 0.000 10.232
ATOMIC_POSITIONS crystal
Y 0.032 0.250 0.168
Y 0.134 0.750 0.450
Y 0.429 0.004 0.732
Y 0.429 0.496 0.732
Y 0.571 0.504 0.268
Y 0.571 0.996 0.268
Y 0.866 0.250 0.550
Y 0.968 0.750 0.832
Bi 0.047 0.750 0.153
Bi 0.953 0.250 0.847
Pb 0.316 0.250 0.459
Pb 0.493 0.250 0.007
Pb 0.507 0.750 0.993
Pb 0.684 0.750 0.541
```

***

# 2
The following is a DFT calculation (GGA-PBE) of a relaxed Y10Bi3Pb3 crystal. Values from VASP.

## Properties
The formation energy comes out at -666 meV per atom. As for the density of states at the Fermi level: 11.6 states/eV per cell. For the total magnetic moment, the calculation gives 0.5 μB/f.u. For the final energy, the calculation gives -6.1290 eV per atom.

```
&SYSTEM
  ibrav = 0, nat = 16, ntyp = 3
/
ATOMIC_SPECIES
Y 88.91 Y.upf
Bi 208.98 Bi.upf
Pb 207.20 Pb.upf
CELL_PARAMETERS angstrom
9.135 0.000 0.000
-4.568 7.911 0.000
0.000 0.000 6.520
ATOMIC_POSITIONS crystal
Y 0.000 0.240 0.000
Y 0.000 0.760 0.500
Y 0.240 0.000 0.000
Y 0.240 0.240 0.500
Y 0.333 0.667 0.249
Y 0.333 0.667 0.751
Y 0.667 0.333 0.249
Y 0.667 0.333 0.751
Y 0.760 0.000 0.500
Y 0.760 0.760 0.000
Bi 0.000 0.392 0.500
Bi 0.392 0.000 0.500
Bi 0.608 0.608 0.500
Pb 0.000 0.608 0.000
Pb 0.392 0.392 0.000
Pb 0.608 0.000 0.000
```

***

# 3
The following is a DFT calculation (GGA-PBE) of a relaxed YBi3Pb crystal. Values from VASP.

## Properties
The formation energy comes out at -230 meV per atom. As for the density of states at the Fermi level: 9.5 states/eV per cell. For the total magnetic moment, the calculation gives 0.0 μB/f.u. For the final energy, the calculation gives -4.5931 eV per atom.

```
&SYSTEM
  ibrav = 0, nat = 20, ntyp = 3
/
ATOMIC_SPECIES
Y 88.91 Y.upf
Bi 208.98 Bi.upf
Pb 207.20 Pb.upf
CELL_PARAMETERS angstrom
10.270 0.000 0.000
0.000 6.160 0.000
0.000 0.000 10.474
ATOMIC_POSITIONS crystal
Y 0.119 0.001 0.250
Y 0.119 0.499 0.750
Y 0.881 0.501 0.250
Y 0.881 0.999 0.750
Bi 0.038 0.750 0.000
Bi 0.038 0.750 0.500
Bi 0.216 0.006 0.750
Bi 0.216 0.494 0.250
Bi 0.430 0.599 0.750
Bi 0.430 0.901 0.250
Bi 0.570 0.099 0.750
Bi 0.570 0.401 0.250
Bi 0.784 0.506 0.750
Bi 0.784 0.994 0.250
Bi 0.962 0.250 0.000
Bi 0.962 0.250 0.500
Pb 0.365 0.250 0.000
Pb 0.365 0.250 0.500
Pb 0.635 0.750 0.000
Pb 0.635 0.750 0.500
```

***

# 4
The following is a DFT calculation (GGA-PBE) of a relaxed Y4Bi2Pb crystal. Values from VASP.

## Properties
The formation energy comes out at -543 meV per atom. As for the density of states at the Fermi level: 10.8 states/eV per cell. For the total magnetic moment, the calculation gives 0.0 μB/f.u. For the final energy, the calculation gives -5.8749 eV per atom.

```
&SYSTEM
  ibrav = 0, nat = 14, ntyp = 3
/
ATOMIC_SPECIES
Y 88.91 Y.upf
Bi 208.98 Bi.upf
Pb 207.20 Pb.upf
CELL_PARAMETERS angstrom
-4.907 4.907 4.811
4.907 -4.907 4.811
4.907 4.907 -4.811
ATOMIC_POSITIONS crystal
Y 0.187 0.248 0.561
Y 0.187 0.626 0.939
Y 0.248 0.187 0.061
Y 0.374 0.813 0.561
Y 0.626 0.187 0.439
Y 0.752 0.813 0.939
Y 0.813 0.374 0.061
Y 0.813 0.752 0.439
Bi 0.000 0.500 0.500
Bi 0.500 0.000 0.000
Bi 0.500 0.500 0.000
Bi 0.500 0.500 0.500
Pb 0.125 0.875 0.250
Pb 0.875 0.125 0.750
```

***

# 5
The following is a DFT calculation (GGA-PBE) of a relaxed Y2BiPb2 crystal. Values from VASP.

## Properties
The formation energy comes out at -445 meV per atom. As for the density of states at the Fermi level: 5.7 states/eV per cell. For the total magnetic moment, the calculation gives 0.0 μB/f.u. For the final energy, the calculation gives -5.2897 eV per atom.

```
&SYSTEM
  ibrav = 0, nat = 10, ntyp = 3
/
ATOMIC_SPECIES
Y 88.91 Y.upf
Bi 208.98 Bi.upf
Pb 207.20 Pb.upf
CELL_PARAMETERS angstrom
8.174 0.000 0.000
0.000 8.174 0.000
0.000 0.000 4.630
ATOMIC_POSITIONS crystal
Y 0.166 0.334 0.000
Y 0.334 0.834 0.000
Y 0.666 0.166 0.000
Y 0.834 0.666 0.000
Bi 0.000 0.000 0.000
Bi 0.500 0.500 0.000
Pb 0.138 0.638 0.500
Pb 0.362 0.138 0.500
Pb 0.638 0.862 0.500
Pb 0.862 0.362 0.500
```

***

# 6
The following is a DFT calculation (GGA-PBE) of a relaxed YBiPb crystal. Values from VASP.

## Properties
The formation energy comes out at -234 meV per atom. As for the density of states at the Fermi level: 3.0 states/eV per cell. For the total magnetic moment, the calculation gives 0.0 μB/f.u. For the final energy, the calculation gives -4.9183 eV per atom.

```
&SYSTEM
  ibrav = 0, nat = 6, ntyp = 3
/
ATOMIC_SPECIES
Y 88.91 Y.upf
Bi 208.98 Bi.upf
Pb 207.20 Pb.upf
CELL_PARAMETERS angstrom
5.279 0.000 0.000
-2.639 4.571 0.000
0.000 0.000 8.255
ATOMIC_POSITIONS crystal
Y 0.000 0.000 0.241
Y 0.000 0.000 0.759
Bi 0.333 0.667 0.352
Bi 0.667 0.333 0.648
Pb 0.333 0.667 0.953
Pb 0.667 0.333 0.047
```

***

# 7
The following is a DFT calculation (GGA-PBE) of a relaxed Y8BiPb5 crystal. Values from VASP.

## Properties
The formation energy comes out at -615 meV per atom. As for the density of states at the Fermi level: 8.8 states/eV per cell. For the total magnetic moment, the calculation gives 0.0 μB/f.u. For the final energy, the calculation gives -5.9103 eV per atom.

```
&SYSTEM
  ibrav = 0, nat = 14, ntyp = 3
/
ATOMIC_SPECIES
Y 88.91 Y.upf
Bi 208.98 Bi.upf
Pb 207.20 Pb.upf
CELL_PARAMETERS angstrom
-4.707 4.707 4.705
4.707 -4.707 4.705
4.707 4.707 -4.705
ATOMIC_POSITIONS crystal
Y 0.017 0.623 0.748
Y 0.235 0.487 0.109
Y 0.377 0.125 0.394
Y 0.378 0.126 0.891
Y 0.513 0.622 0.748
Y 0.731 0.983 0.606
Y 0.874 0.765 0.252
Y 0.875 0.269 0.252
Bi 0.000 0.000 0.000
Pb 0.124 0.248 0.624
Pb 0.250 0.750 0.500
Pb 0.501 0.876 0.124
Pb 0.623 0.499 0.376
Pb 0.752 0.377 0.876
```

***

# 8
The following is a DFT calculation (GGA-PBE) of a relaxed Y5Bi2Pb crystal. Values from VASP.

## Properties
The formation energy comes out at -527 meV per atom. As for the density of states at the Fermi level: 5.3 states/eV per cell. For the total magnetic moment, the calculation gives 0.0 μB/f.u. For the final energy, the calculation gives -6.0004 eV per atom.

```
&SYSTEM
  ibrav = 0, nat = 8, ntyp = 3
/
ATOMIC_SPECIES
Y 88.91 Y.upf
Bi 208.98 Bi.upf
Pb 207.20 Pb.upf
CELL_PARAMETERS angstrom
6.487 0.000 0.000
-0.785 6.453 0.000
-3.238 -0.445 5.654
ATOMIC_POSITIONS crystal
Y 0.000 0.000 0.000
Y 0.057 0.242 0.529
Y 0.455 0.856 0.962
Y 0.526 0.623 0.511
Y 0.612 0.386 0.030
Bi 0.529 0.126 0.491
Bi 0.980 0.741 0.439
Pb 0.089 0.501 0.992
```